(1)
First-principles (PBE) data for BaGaTc after structural relaxation, as listed in Alexandria via LeMat-Bulk.

Computed properties:
energy relative to the elements = -10.1 kJ/mol of atoms

Cell lengths 4.3047, 4.3047, 11.5625 Å; angles 100.58, 100.58, 59.94 degrees
Sites, in units of the cell vectors:
Ba 0.0000 0.0000 0.0000
Ba 0.2040 0.2040 0.6191
Ga 0.3945 0.3945 0.1875
Ga 0.4726 0.4726 0.4226
Tc 0.1051 0.1051 0.3174
Tc 0.7577 0.7577 0.2792

(2)
First-principles (PBE) data for BaGa3Tc after structural relaxation, as listed in Alexandria via LeMat-Bulk.

Computed properties:
energy relative to the elements = -31.3 kJ/mol of atoms

Cell lengths 7.3787, 7.3787, 5.1296 Å; angles 93.80, 93.80, 54.20 degrees
Sites, in units of the cell vectors:
Ba 0.1521 0.1521 0.4916
Ba 0.8479 0.8479 0.5084
Ga 0.0000 0.5000 0.0000
Ga 0.2048 0.7952 0.0000
Ga 0.4152 0.4152 0.6118
Ga 0.5000 0.0000 0.0000
Ga 0.5848 0.5848 0.3882
Ga 0.7952 0.2048 0.0000
Tc 0.3847 0.3847 0.1025
Tc 0.6153 0.6153 0.8975

(3)
First-principles (PBE) data for BaGa3Tc after structural relaxation, as listed in Alexandria via LeMat-Bulk.

Computed properties:
energy relative to the elements = -25.2 kJ/mol of atoms

Cell lengths 9.0203, 5.7558, 8.6179 Å; angles 90.00, 90.41, 90.00 degrees
Sites, in units of the cell vectors:
Ba 0.1220 0.0873 0.2463
Ba 0.1220 0.4127 0.7463
Ba 0.8780 0.5873 0.2537
Ba 0.8780 0.9127 0.7537
Ga 0.2689 0.5657 0.4092
Ga 0.2689 0.9343 0.9092
Ga 0.2698 0.5654 0.0858
Ga 0.2698 0.9346 0.5858
Ga 0.4706 0.5202 0.7504
Ga 0.4706 0.9798 0.2504
Ga 0.5294 0.0202 0.7496
Ga 0.5294 0.4798 0.2496
Ga 0.7302 0.0654 0.4142
Ga 0.7302 0.4346 0.9142
Ga 0.7311 0.0657 0.0908
Ga 0.7311 0.4343 0.5908
Tc 0.4648 0.2485 0.9996
Tc 0.4648 0.2515 0.4996
Tc 0.5352 0.7485 0.5004
Tc 0.5352 0.7515 0.0004

(4)
First-principles (PBE) data for BaGa3Tc after structural relaxation, as listed in Alexandria via LeMat-Bulk.

Computed properties:
energy relative to the elements = 34.3 kJ/mol of atoms

Cell lengths 4.3182, 4.3182, 19.0506 Å; angles 90.00, 90.00, 120.00 degrees
Sites, in units of the cell vectors:
Ba 0.0000 0.0000 0.0000
Ba 0.0000 0.0000 0.5000
Ga 0.0000 0.0000 0.2500
Ga 0.0000 0.0000 0.7500
Ga 0.3333 0.6667 0.1253
Ga 0.3333 0.6667 0.3747
Ga 0.6667 0.3333 0.6253
Ga 0.6667 0.3333 0.8747
Tc 0.3333 0.6667 0.2500
Tc 0.6667 0.3333 0.7500

(5)
First-principles (PBE) data for Ba2GaTc2 after structural relaxation, as listed in Alexandria via LeMat-Bulk.

Computed properties:
energy relative to the elements = 37.0 kJ/mol of atoms

Cell lengths 11.1308, 11.1308, 11.1308 Å; angles 161.54, 161.54, 26.22 degrees
Sites, in units of the cell vectors:
Ba 0.1113 0.1113 0.0000
Ba 0.8887 0.8887 0.0000
Ga 0.5000 0.5000 0.0000
Tc 0.2500 0.7500 0.5000
Tc 0.7500 0.2500 0.5000

(6)
First-principles (PBE) data for BaGa3Tc after structural relaxation, as listed in Alexandria via LeMat-Bulk.

Computed properties:
energy relative to the elements = -24.9 kJ/mol of atoms

Cell lengths 5.6850, 6.7156, 6.7156 Å; angles 60.04, 90.00, 90.00 degrees
Sites, in units of the cell vectors:
Ba 0.0000 0.0000 0.0000
Ba 0.5000 0.3327 0.3327
Ga 0.0000 0.0357 0.4822
Ga 0.0000 0.4813 0.4813
Ga 0.0000 0.4822 0.0357
Ga 0.5000 0.2973 0.8501
Ga 0.5000 0.8501 0.2973
Ga 0.5000 0.8509 0.8509
Tc 0.2492 0.6663 0.6663
Tc 0.7508 0.6663 0.6663